1.
A relaxed LiUTe2 crystal. Source: Alexandria via LeMat-Bulk, functional GGA-PBE.

a = 3.7446 Å, b = 3.7446 Å, c = 7.5937 Å
α = 90.00°, β = 90.00°, γ = 90.00°
Closest atoms and distances in Å follow each position.
Space group P4/mmm (No. 123)
Inequivalent atoms, fractional coordinates:
Li: 0.0000 0.0000 0.0000 x1  8 Te 3.30
U: 0.0000 0.0000 0.5000 x1  8 Te 3.22
Te: 0.5000 0.5000 0.2588 x2  4 U 3.22, 4 Li 3.30

Calculated values
The density of states at the Fermi level comes out at 1.80 states/eV/atom.

---

2.
A relaxed Li3U6Te14 crystal. Source: Alexandria via LeMat-Bulk, functional GGA-PBE.

a = 10.9135 Å, b = 10.9135 Å, c = 6.3411 Å
α = 90.00°, β = 90.00°, γ = 120.00°
Closest atoms and distances in Å follow each position.
Space group P3 (No. 143)
Inequivalent atoms, fractional coordinates:
Li: 0.0000 0.0000 0.0000 x1  6 Te 2.89-2.90
Li: 0.3333 0.6667 0.1175 x1  4 Te 2.61-2.64
Li: 0.6667 0.3333 0.6166 x1  4 Te 2.61-2.64
U: 0.1446 0.3720 0.7389 x3  7 Te 3.03-3.29
U: 0.3717 0.2268 0.2361 x3  7 Te 3.03-3.28
Te: 0.0709 0.5645 0.9834 x3  1 Li 2.64
Te: 0.1022 0.2542 0.2511 x3  1 Li 2.90, 2 U 3.10-3.17
Te: 0.2545 0.1513 0.7504 x3  1 Li 2.89, 2 U 3.09-3.18
Te: 0.3333 0.6667 0.5294 x1  1 Li 2.61
Te: 0.5068 0.0709 0.4832 x3  1 Li 2.64
Te: 0.6667 0.3333 0.0284 x1  1 Li 2.61

Calculated values
The density of states at the Fermi level comes out at 2.23 states/eV/atom.

---

3.
A relaxed LiU2Te6 crystal. Source: Alexandria via LeMat-Bulk, functional GGA-PBE.

a = 7.0416 Å, b = 7.7800 Å, c = 11.7142 Å
α = 90.00°, β = 126.18°, γ = 90.00°
Closest atoms and distances in Å follow each position.
Space group P2_1/c (No. 14)
Inequivalent atoms, fractional coordinates:
Li: 0.0000 0.0000 0.0000 x2  6 Te 2.81-2.89
U: 0.1998 0.1383 0.7506 x4  7 Te 2.94-3.28
Te: 0.1063 0.1674 0.4415 x4  1 Li 2.89, 2 U 3.08-3.10
Te: 0.2836 0.6773 0.4357 x4  1 Li 2.87, 2 U 3.09-3.10
Te: 0.4419 0.0495 0.2584 x4  1 Li 2.81, 2 U 2.94-2.97

Calculated values
The density of states at the Fermi level comes out at 1.69 states/eV/atom.

---

4.
A relaxed Li3UTe4 crystal. Source: Alexandria via LeMat-Bulk, functional GGA-PBE.

a = 7.3386 Å, b = 8.5645 Å, c = 7.4264 Å
α = 90.00°, β = 109.98°, γ = 90.00°
Closest atoms and distances in Å follow each position.
Space group P2/c (No. 13)
Inequivalent atoms, fractional coordinates:
Li: 0.0000 0.1154 0.2500 x2  6 Te 2.96-3.09
Li: 0.5000 0.1176 0.7500 x2  6 Te 2.96-3.12
Li: 0.5000 0.3669 0.2500 x2  6 Te 2.96-3.06
U: 0.0000 0.3572 0.7500 x2  6 Te 2.92-3.05
Te: 0.2438 0.3822 0.4987 x4  2 U 3.00-3.05, 4 Li 3.04-3.12
Te: 0.2563 0.1248 0.9966 x4  1 U 2.92, 5 Li 2.96-3.08

Calculated values
The density of states at the Fermi level comes out at 0.46 states/eV/atom. Its energy above the most stable polymorph in this dataset is 0 meV/atom.

---

5.
A relaxed Li5UTe6 crystal. Source: Alexandria via LeMat-Bulk, functional GGA-PBE.

a = 7.2950 Å, b = 12.5111 Å, c = 7.2439 Å
α = 90.00°, β = 109.12°, γ = 90.00°
Closest atoms and distances in Å follow each position.
Space group C2/m (No. 12)
Inequivalent atoms, fractional coordinates:
Li: 0.0000 0.0000 0.0000 x2  6 Te 2.95-3.00
Li: 0.0000 0.1677 0.5000 x4  6 Te 2.95-3.00
Li: 0.0000 0.3390 0.0000 x4  6 Te 2.92-3.04
U: 0.0000 0.5000 0.5000 x2  6 Te 2.92-2.94
Te: 0.2463 0.3358 0.7527 x8  5 Li 2.92-3.04, 1 U 2.94
Te: 0.2499 0.0000 0.7435 x4  1 U 2.92, 5 Li 2.94-3.00

Calculated values
The density of states at the Fermi level comes out at 0.74 states/eV/atom.

---

6.
A relaxed Li4U3Te8 crystal. Source: Alexandria via LeMat-Bulk, functional GGA-PBE.

a = 8.7182 Å, b = 8.7182 Å, c = 22.3274 Å
α = 90.00°, β = 90.00°, γ = 120.00°
Closest atoms and distances in Å follow each position.
Space group R-3m (No. 166, hexagonal axes)
Inequivalent atoms, fractional coordinates:
Li: 0.0000 0.0000 0.0000 x3  2 Li 2.95, 6 Te 3.11
Li: 0.0000 0.0000 0.1322 x6  4 Te 2.74-2.83, 1 Li 2.95
Li: 0.0000 0.0000 0.5000 x3  6 Te 3.15
U: 0.0000 0.5000 0.0000 x9  6 Te 3.05-3.06
Te: 0.0000 0.0000 0.2550 x6  1 Li 2.74, 3 U 3.06
Te: 0.0062 0.5031 0.2546 x18  3 Li 2.83-3.15, 2 U 3.05

Calculated values
The density of states at the Fermi level comes out at 1.02 states/eV/atom. Its energy above the most stable polymorph in this dataset is 0 meV/atom.

---

In the order shown, the computed formation energy without anion corrections values come out to -643, -633, -528, -800, -736, -746 meV/atom.
In the order shown, the computed final energy values come out to -5.51, -5.74, -5.34, -4.50, -4.04, -5.19 eV/atom.